A geometry-optimized LiOs2Au structure. Source: Alexandria via LeMat-Bulk, functional PBE.

Lattice parameters (Å, degrees): 9.969 9.969 9.969 158.83 158.83 30.11
Fractional positions:
Li 0.000 0.000 0.000
Li 0.750 0.250 0.500
Os 0.083 0.625 0.958
Os 0.375 0.333 0.458
Os 0.667 0.125 0.042
Os 0.875 0.917 0.542
Au 0.250 0.750 0.500
Au 0.500 0.500 0.000

Properties
ΔE_f = 0.62 eV/atom
space group = I-42d

***

A geometry-optimized SrAgC2Br structure. Source: Alexandria via LeMat-Bulk, functional PBE.

Lattice parameters (Å, degrees): 4.209 4.209 6.403 90.00 90.00 90.00
Fractional positions:
Sr 0.000 0.000 0.000
Ag 0.000 0.000 0.500
C 0.000 0.500 0.500
C 0.500 0.000 0.500
Br 0.500 0.500 0.000

Properties
final energy = -3.578 eV per atom
space group = P4/mmm

***

A geometry-optimized Ca2Np2Pt15 structure. Source: Alexandria via LeMat-Bulk, functional PBE.

Lattice parameters (Å, degrees): 7.082 7.082 7.082 82.37 82.37 82.37
Fractional positions:
Ca 0.144 0.144 0.144
Ca 0.856 0.856 0.856
Np 0.417 0.417 0.417
Np 0.583 0.583 0.583
Pt 0.000 0.500 0.500
Pt 0.159 0.159 0.659
Pt 0.159 0.659 0.159
Pt 0.182 0.500 0.818
Pt 0.182 0.818 0.500
Pt 0.341 0.841 0.841
Pt 0.500 0.000 0.500
Pt 0.500 0.182 0.818
Pt 0.500 0.500 0.000
Pt 0.500 0.818 0.182
Pt 0.659 0.159 0.159
Pt 0.818 0.182 0.500
Pt 0.818 0.500 0.182
Pt 0.841 0.341 0.841
Pt 0.841 0.841 0.341

Properties
ΔE_f = -0.50 eV/atom
space group = R-3m